i | GGA-PBE YTm2Ir2, relaxed; mass density = 11.06 Mg/m³; symmetry = P2_1/m; DOS at the Fermi energy = 2.22 states/eV/f.u.; magnetic moment = 0.000 μB/f.u.
1.0
-1.434 4.006 0.982
0.048 -1.278 5.284
9.660 4.264 -3.285
Tm Ir Y
4 4 2
Direct
0.750 0.225 0.116
0.750 0.720 0.470
0.250 0.775 0.884
0.250 0.280 0.530
0.750 0.132 0.360
0.750 0.680 0.025
0.250 0.868 0.640
0.250 0.320 0.975
0.250 0.810 0.211
0.750 0.190 0.789

ii | GGA-PBE YTm2Ir2, relaxed; mass density = 11.61 Mg/m³; symmetry = P-3m1; DOS at the Fermi energy = 3.17 states/eV/f.u.; magnetic moment = 0.000 μB/f.u.
1.0
4.757 0.014 -0.009
2.367 4.126 -0.009
0.009 0.005 5.921
Ir Tm Y
2 2 1
Direct
0.833 0.333 0.174
0.167 0.667 0.826
0.167 0.667 0.337
0.833 0.333 0.663
0.500 0.000 0.000

Which of them is least stable? Easy: i.

i | GGA-PBE Tm8ZnIr2, relaxed; mass density = 10.89 Mg/m³; symmetry = C2/m; DOS at the Fermi energy = 11.96 states/eV/f.u.; magnetic moment = 0.000 μB/f.u.
1.0
4.850 0.000 0.000
0.000 6.864 0.140
-2.425 -2.777 8.193
Ir Zn Tm
2 1 8
Direct
0.813 0.296 0.626
0.187 0.704 0.374
0.500 0.000 0.000
0.403 0.530 0.807
0.672 0.964 0.343
0.035 0.779 0.070
0.202 0.314 0.404
0.965 0.221 0.930
0.798 0.686 0.596
0.597 0.470 0.193
0.328 0.036 0.657

ii | GGA-PBE Tm8ZnIr2, relaxed; mass density = 10.36 Mg/m³; symmetry = Cm; DOS at the Fermi energy = 11.05 states/eV/f.u.; magnetic moment = 0.000 μB/f.u.
1.0
-5.345 0.082 0.930
1.019 -7.640 0.405
2.237 3.663 6.415
Ir Tm Zn
2 8 1
Direct
0.500 0.692 0.315
0.500 0.315 0.692
0.000 0.244 0.763
0.412 0.935 0.673
0.805 0.627 0.627
0.412 0.673 0.935
0.000 0.763 0.244
0.195 0.378 0.378
0.588 0.334 0.072
0.588 0.072 0.334
0.001 0.003 0.003

Which of them is least stable? Easy: ii.

i | GGA-PBE TmZrIr, relaxed; mass density = 11.44 Mg/m³; symmetry = P-62m; DOS at the Fermi energy = 2.91 states/eV/f.u.; magnetic moment = 0.000 μB/f.u.
1.0
-4.260 2.463 5.060
-4.984 -7.634 -0.480
8.174 0.000 1.958
Zr Tm Ir
6 6 6
Direct
0.754 0.128 0.256
0.009 0.000 0.000
0.754 0.628 0.256
0.498 0.372 0.744
0.009 0.500 0.000
0.498 0.872 0.744
0.338 0.750 0.000
0.754 0.542 0.584
0.169 0.958 0.416
0.338 0.250 0.000
0.169 0.458 0.416
0.753 0.042 0.584
0.753 0.250 0.000
0.753 0.750 0.000
0.420 0.167 0.333
0.420 0.666 0.333
0.087 0.334 0.667
0.087 0.833 0.667

ii | GGA-PBE TmZrIr, relaxed; mass density = 10.57 Mg/m³; symmetry = F-43m; DOS at the Fermi energy = 2.89 states/eV/f.u.; magnetic moment = 0.000 μB/f.u.
1.0
4.650 0.000 0.000
2.325 4.027 0.000
2.325 1.342 3.797
Zr Tm Ir
1 1 1
Direct
0.000 0.000 0.000
0.500 0.500 0.500
0.250 0.250 0.250

Which of them is least stable? Easy: ii.

i | GGA-PBE TmZr2Ir, relaxed; mass density = 11.15 Mg/m³; symmetry = Fm-3m; DOS at the Fermi energy = 4.51 states/eV/f.u.; magnetic moment = 0.000 μB/f.u.
1.0
-2.559 -0.134 4.124
-2.892 -3.785 0.941
1.190 -3.155 3.495
Ir Zr Tm
1 2 1
Direct
0.000 0.000 0.000
0.250 0.250 0.250
0.750 0.750 0.750
0.500 0.500 0.500

ii | GGA-PBE TmZr2Ir, relaxed; mass density = 9.89 Mg/m³; symmetry = Cmcm; DOS at the Fermi energy = 3.97 states/eV/f.u.; magnetic moment = 0.000 μB/f.u.
1.0
-1.591 3.525 -1.766
-4.228 -4.220 0.494
-1.834 2.652 6.947
Ir Tm Zr
2 2 4
Direct
0.223 0.445 0.250
0.777 0.555 0.750
0.945 0.890 0.250
0.055 0.110 0.750
0.645 0.289 0.451
0.355 0.711 0.549
0.355 0.711 0.951
0.645 0.289 0.049

Which of them is least stable? Easy: i.